1.
Compound: InCuTe2MoS
Source: OQMD via LeMat-Bulk
Functional: GGA-PBE
Structure: relaxed

The structure in POSCAR format:
```
InCuTe2MoS
1.0
1.938 -7.370 0.000
1.938 7.370 0.000
0.000 0.000 9.609
In Te Cu Mo S
2 4 2 2 2
Direct
0.774 0.226 0.250 In
0.226 0.774 0.750 In
0.135 0.865 0.051 Te
0.135 0.865 0.449 Te
0.865 0.135 0.551 Te
0.865 0.135 0.949 Te
0.017 0.983 0.250 Cu
0.983 0.017 0.750 Cu
0.500 0.500 0.500 Mo
0.500 0.500 0.000 Mo
0.435 0.565 0.250 S
0.565 0.435 0.750 S
```

Calculated values
- size of the total moment (μB per formula unit) = 1.9
- mass density (g/cm³) = 6.79
- E (eV per atom) = -4.736
- space group = Cmcm, No. 63

---

2.
Compound: InCu3MoSe4
Source: OQMD via LeMat-Bulk
Functional: GGA-PBE
Structure: relaxed

The structure in POSCAR format:
```
InCu3MoSe4
1.0
-2.543 4.429 3.243
1.900 -2.643 5.099
5.150 3.162 -0.280
Se Mo Cu In
4 1 3 1
Direct
0.731 0.731 0.269 Se
0.731 0.269 0.731 Se
0.269 0.731 0.731 Se
0.269 0.269 0.269 Se
0.500 0.500 0.500 Mo
0.000 0.500 0.500 Cu
0.500 0.500 0.000 Cu
0.500 0.000 0.500 Cu
0.000 0.000 0.000 In
```

Calculated values
- size of the total moment (μB per formula unit) = 1.9
- mass density (g/cm³) = 5.38
- E (eV per atom) = -4.379
- space group = P-43m, No. 215

---

3.
Compound: InCuTe2MoSe
Source: OQMD via LeMat-Bulk
Functional: GGA-PBE
Structure: relaxed

The structure in POSCAR format:
```
InCuTe2MoSe
1.0
1.968 -7.387 0.000
1.968 7.387 0.000
0.000 0.000 9.916
In Se Mo Cu Te
2 2 2 2 4
Direct
0.763 0.237 0.250 In
0.237 0.763 0.750 In
0.571 0.429 0.750 Se
0.429 0.571 0.250 Se
0.500 0.500 0.000 Mo
0.500 0.500 0.500 Mo
0.024 0.976 0.250 Cu
0.976 0.024 0.750 Cu
0.133 0.867 0.452 Te
0.867 0.133 0.548 Te
0.133 0.867 0.048 Te
0.867 0.133 0.952 Te
```

Calculated values
- size of the total moment (μB per formula unit) = 2.0
- mass density (g/cm³) = 7.01
- E (eV per atom) = -4.601
- space group = Cmcm, No. 63

---

4.
Compound: InCuTe3Mo
Source: OQMD via LeMat-Bulk
Functional: GGA-PBE
Structure: relaxed

The structure in POSCAR format:
```
InCuTe3Mo
1.0
7.507 -1.963 0.000
7.507 1.963 0.000
0.000 0.000 10.344
Te Cu Mo In
6 2 2 2
Direct
0.631 0.631 0.545 Te
0.369 0.369 0.045 Te
0.078 0.078 0.250 Te
0.631 0.631 0.955 Te
0.369 0.369 0.455 Te
0.922 0.922 0.750 Te
0.466 0.466 0.250 Cu
0.534 0.534 0.750 Cu
0.000 0.000 0.500 Mo
0.000 0.000 0.000 Mo
0.243 0.243 0.750 In
0.757 0.757 0.250 In
```

Calculated values
- size of the total moment (μB per formula unit) = 2.0
- mass density (g/cm³) = 7.16
- E (eV per atom) = -4.470
- space group = Cmcm, No. 63

---

5.
Compound: ZnInCuMo
Source: OQMD via LeMat-Bulk
Functional: GGA-PBE
Structure: relaxed

The structure in POSCAR format:
```
ZnInCuMo
1.0
-0.759 -1.672 4.094
-2.771 -3.491 0.519
1.644 -4.022 1.121
In Mo Cu Zn
1 1 1 1
Direct
0.000 0.000 0.000 In
0.500 0.500 0.500 Mo
0.750 0.750 0.750 Cu
0.250 0.250 0.250 Zn
```

Calculated values
- size of the total moment (μB per formula unit) = 1.8
- distance to the lowest polymorph of the same formula (eV/atom) = 0.000
- mass density (g/cm³) = 8.83
- space group = F-43m, No. 216

---

6.
Compound: ZnInCuMo
Source: OQMD via LeMat-Bulk
Functional: GGA-PBE
Structure: relaxed

The structure in POSCAR format:
```
ZnInCuMo
1.0
0.000 3.190 3.190
3.190 0.000 3.190
3.190 3.190 0.000
Cu Mo Zn In
1 1 1 1
Direct
0.750 0.750 0.750 Cu
0.250 0.250 0.250 Mo
0.500 0.500 0.500 Zn
0.000 0.000 0.000 In
```

Calculated values
- size of the total moment (μB per formula unit) = 1.6
- distance to the lowest polymorph of the same formula (eV/atom) = 0.006
- mass density (g/cm³) = 8.69
- space group = F-43m, No. 216